1.
Entry from Alexandria via LeMat-Bulk: a geometry-optimized NaTi2O4 structure (PBE-GGA).

```
NaTi2O4
1.0
-1.6926 2.0455 6.2991
1.6926 -2.0455 6.2991
1.6926 2.0455 -6.2991
Na Ti O
1 2 4
Direct
0.0000 0.0000 0.0000 Na
0.3094 0.8094 0.5000 Ti
0.6549 0.6549 0.0000 Ti
0.1556 0.6556 0.5000 O
0.3768 0.3768 0.0000 O
0.5881 0.0881 0.5000 O
0.8062 0.8062 0.0000 O
```

## Properties
Relative energy among the computed polymorphs (meV/atom): 65
Formation energy from raw total energies (eV per atom): -2.680
D(E_F) (states/eV per atom): 0.18


2.
Entry from Alexandria via LeMat-Bulk: a geometry-optimized Na6Ti11O24 structure (PBE-GGA).

```
Na6Ti11O24
1.0
5.4241 -3.0486 0.0000
5.4241 3.0486 0.0000
-0.4130 0.0000 15.0871
Na Ti O
6 11 24
Direct
0.0000 0.0000 0.0000 Na
0.1521 0.1521 0.2043 Na
0.1641 0.1641 0.4561 Na
0.4949 0.4949 0.1272 Na
0.5050 0.5050 0.8719 Na
0.8452 0.8452 0.7927 Na
0.0028 0.4979 0.9980 Ti
0.1614 0.6545 0.3351 Ti
0.1717 0.1717 0.8326 Ti
0.3386 0.3386 0.6622 Ti
0.3446 0.8390 0.6616 Ti
0.4959 0.4959 0.5028 Ti
0.4979 0.0028 0.9980 Ti
0.6545 0.1614 0.3351 Ti
0.6695 0.6695 0.3436 Ti
0.8219 0.8219 0.1622 Ti
0.8390 0.3446 0.6616 Ti
0.0350 0.4611 0.7371 O
0.0366 0.0366 0.7414 O
0.1022 0.6605 0.0925 O
0.1714 0.1714 0.5986 O
0.1841 0.1841 0.0615 O
0.2188 0.6494 0.5876 O
0.3209 0.3209 0.9253 O
0.3398 0.8972 0.9076 O
0.3504 0.7769 0.4102 O
0.3537 0.3537 0.4130 O
0.4611 0.0350 0.7371 O
0.4832 0.4832 0.2711 O
0.5092 0.5092 0.7276 O
0.5341 0.9643 0.2649 O
0.6440 0.6440 0.5859 O
0.6494 0.2188 0.5876 O
0.6605 0.1022 0.0925 O
0.6798 0.6798 0.0757 O
0.7769 0.3504 0.4102 O
0.8164 0.8164 0.9375 O
0.8260 0.8260 0.4036 O
0.8972 0.3398 0.9076 O
0.9617 0.9617 0.2596 O
0.9643 0.5341 0.2649 O
```

## Properties
Formation energy from raw total energies (eV per atom): -2.717
D(E_F) (states/eV per atom): 0.17


3.
Entry from Alexandria via LeMat-Bulk: a geometry-optimized NaTi2O4 structure (PBE-GGA).

```
NaTi2O4
1.0
0.0000 4.3576 4.3576
4.3576 0.0000 4.3576
4.3576 4.3576 0.0000
Na Ti O
2 4 8
Direct
0.1250 0.1250 0.1250 Na
0.8750 0.8750 0.8750 Na
0.0000 0.5000 0.5000 Ti
0.5000 0.0000 0.5000 Ti
0.5000 0.5000 0.0000 Ti
0.5000 0.5000 0.5000 Ti
0.2685 0.2685 0.2685 O
0.2685 0.2685 0.6944 O
0.2685 0.6944 0.2685 O
0.3056 0.7315 0.7315 O
0.6944 0.2685 0.2685 O
0.7315 0.3056 0.7315 O
0.7315 0.7315 0.3056 O
0.7315 0.7315 0.7315 O
```

## Properties
Relative energy among the computed polymorphs (meV/atom): 13
Formation energy from raw total energies (eV per atom): -2.732
D(E_F) (states/eV per atom): 0.39


4.
Entry from Alexandria via LeMat-Bulk: a geometry-optimized Na2TiO3 structure (PBE-GGA).

```
Na2TiO3
1.0
2.6850 -4.6532 0.0000
2.6850 4.6532 0.0000
-1.8655 0.0000 10.8888
Na Ti O
8 4 12
Direct
0.0000 0.5000 0.5000 Na
0.0853 0.9147 0.7500 Na
0.1586 0.3170 0.9996 Na
0.3170 0.1586 0.4996 Na
0.5000 0.0000 0.0000 Na
0.6830 0.8414 0.5004 Na
0.8414 0.6830 0.0004 Na
0.9147 0.0853 0.2500 Na
0.2497 0.7503 0.2500 Ti
0.4183 0.5817 0.7500 Ti
0.5817 0.4183 0.2500 Ti
0.7503 0.2497 0.7500 Ti
0.0515 0.2573 0.6472 O
0.1205 0.5692 0.8505 O
0.2573 0.0515 0.1472 O
0.3273 0.4999 0.3511 O
0.4308 0.8795 0.6495 O
0.4999 0.3273 0.8511 O
0.5001 0.6727 0.1489 O
0.5692 0.1205 0.3505 O
0.6727 0.5001 0.6489 O
0.7427 0.9485 0.8528 O
0.8795 0.4308 0.1495 O
0.9485 0.7427 0.3528 O
```

## Properties
Formation energy from raw total energies (eV per atom): -2.398
D(E_F) (states/eV per atom): 0.00


Which formula does entry 2 have?
Na6Ti11O24


D(E_F) of number 2 (Na6Ti11O24)?
0.17 states/eV per atom


The highest D(E_F) belongs to which entry?
number 3